# 1
This record from the Alexandria database describes crystalline Lu2TiCl at its relaxed geometry. The functional is PBE-GGA.

The uncorrected formation energy is -494 meV/atom. The total magnetization is 0.0 μB/f.u. The calculation puts the electronic total energy at -5.190 eV/atom.

The space group is R-3m (No. 166, hexagonal axes) and the conventional cell measures 3.4099, 3.4099 and 27.3115 Å, with angles of 90.00, 90.00 and 120.00 degrees. The asymmetric unit holds Lu at (0.0000, 0.0000, 0.2472), Ti at (0.0000, 0.0000, 0.0000) and Cl at (0.0000, 0.0000, 0.5000).

# 2
This record from the Alexandria database describes crystalline Tm2LuCl at its relaxed geometry. The functional is PBE-GGA.

The uncorrected formation energy is -314 meV/atom. The total magnetization is 0.2 μB/f.u. The calculation puts the electronic total energy at -4.142 eV/atom.

The space group is R-3m (No. 166, hexagonal axes) and the conventional cell measures 3.3830, 3.3830 and 33.3231 Å, with angles of 90.00, 90.00 and 120.00 degrees. The asymmetric unit holds Tm at (0.0000, 0.0000, 0.0998), Lu at (0.0000, 0.0000, 0.0000) and Cl at (0.0000, 0.0000, 0.5000).

# 3
This record from the Alexandria database describes crystalline Tm3LuCl at its relaxed geometry. The functional is PBE-GGA.

The uncorrected formation energy is -378 meV/atom. The total magnetization is 0.0 μB/f.u. The calculation puts the electronic total energy at -4.334 eV/atom.

The space group is Pm-3m (No. 221) and the conventional cell measures 5.180, 5.180 and 5.180 Å, with angles of 90.00, 90.00 and 90.00 degrees. The asymmetric unit holds Tm at (0.000, 0.000, 0.500), Lu at (0.500, 0.500, 0.500) and Cl at (0.000, 0.000, 0.000).

# 4
This record from the Alexandria database describes crystalline YLuCl at its relaxed geometry. The functional is PBE-GGA.

The uncorrected formation energy is -357 meV/atom. The total magnetization is 0.0 μB/f.u. The calculation puts the electronic total energy at -4.634 eV/atom.

The space group is P3m1 (No. 156) and the conventional cell measures 4.9894, 4.9894 and 3.8385 Å, with angles of 90.00, 90.00 and 120.00 degrees. The asymmetric unit holds Y at (0.0000, 0.0000, 0.0000), Lu at (0.3333, 0.6667, 0.5374) and Cl at (0.6667, 0.3333, 0.8041).

Q: total magnetization of number 2 (Tm2LuCl)?
A: 0.2 μB/f.u.

Q: What is the formula in the second record?
A: Tm2LuCl